Arrangement A

This record from Alexandria describes a relaxed Cd2InSi2 crystal. The functional is GGA-PBE.

Output
Magnetization in μB/cell: 0.0
Calculated volume in Å³ per cell: 114
SG: I4/mmm (139)

a b c (Å): 4.566 4.566 6.355
angles (deg): 68.95 68.95 90.00
Element x y z (fractional)
Si 0.394 0.394 0.212
Si 0.606 0.606 0.788
Cd 0.750 0.250 0.500
Cd 0.250 0.750 0.500
In 0.000 0.000 0.000

***

Arrangement B

This record from Alexandria describes a relaxed Cd2InSi2 crystal. The functional is GGA-PBE.

Output
Magnetization in μB/cell: 0.0
Calculated volume in Å³ per cell: 219
SG: P4/mbm (127)

a b c (Å): 7.264 7.264 4.142
angles (deg): 90.00 90.00 90.00
Element x y z (fractional)
Si 0.384 0.884 0.000
Si 0.884 0.616 0.000
Si 0.616 0.116 0.000
Si 0.116 0.384 0.000
Cd 0.186 0.686 0.500
Cd 0.686 0.814 0.500
Cd 0.814 0.314 0.500
Cd 0.314 0.186 0.500
In 0.000 0.000 0.000
In 0.500 0.500 0.000

***

Arrangement C

This record from Alexandria describes a relaxed Cd2InSi2 crystal. The functional is GGA-PBE.

Output
Magnetization in μB/cell: 0.0
Calculated volume in Å³ per cell: 110
SG: I4/mmm (139)

a b c (Å): 3.480 3.480 9.375
angles (deg): 79.30 79.30 90.00
Element x y z (fractional)
Si 0.750 0.250 0.500
Si 0.250 0.750 0.500
Cd 0.386 0.386 0.229
Cd 0.614 0.614 0.771
In 0.000 0.000 0.000

***

Quick look at relative energies in meV per atom: arrangement A 30; arrangement B 96; arrangement C 0.

***

Arrangement A

This record from Alexandria describes a relaxed Sm4CdIn2 crystal. The functional is GGA-PBE.

Output
Magnetization in μB/cell: 0.0
Calculated volume in Å³ per cell: 426
SG: P2_1/m (11)

a b c (Å): 7.490 6.622 9.574
angles (deg): 90.00 116.25 90.00
Element x y z (fractional)
Sm 0.562 0.494 0.221
Sm 0.012 0.750 0.832
Sm 0.988 0.250 0.168
Sm 0.562 0.006 0.221
Sm 0.962 0.250 0.551
Sm 0.438 0.994 0.779
Sm 0.438 0.506 0.779
Sm 0.038 0.750 0.449
Cd 0.211 0.750 0.204
Cd 0.789 0.250 0.796
In 0.788 0.750 0.060
In 0.212 0.250 0.940
In 0.418 0.250 0.470
In 0.582 0.750 0.530

***

Arrangement B

This record from Alexandria describes a relaxed Sm4CdIn2 crystal. The functional is GGA-PBE.

Output
Magnetization in μB/cell: 0.0
Calculated volume in Å³ per cell: 214
SG: R-3m (166)

a b c (Å): 5.358 5.358 9.151
angles (deg): 72.98 72.98 60.00
Element x y z (fractional)
In 0.747 0.747 0.759
In 0.253 0.253 0.241
Sm 0.871 0.871 0.387
Sm 0.129 0.129 0.613
Sm 0.619 0.619 0.144
Sm 0.381 0.381 0.856
Cd 0.000 0.000 0.000

***

Quick look at relative energies in meV per atom: arrangement A 97; arrangement B 0.

***

Arrangement A

This record from Alexandria describes a relaxed Sm4Cd3In crystal. The functional is GGA-PBE.

Output
Magnetization in μB/cell: 0.9
Calculated volume in Å³ per cell: 223
SG: Pmmm (47)

a b c (Å): 3.846 5.382 10.781
angles (deg): 90.00 90.00 90.00
Last column: magnetic moment on the atom in μB.
Element x y z (fractional)
In 0.500 0.500 0.000  0.00
Sm 0.000 0.000 0.500  0.14
Sm 0.000 0.500 0.750  0.11
Sm 0.000 0.000 0.000  0.06
Sm 0.000 0.500 0.250  0.11
Cd 0.500 0.000 0.251  0.01
Cd 0.500 0.500 0.500  0.01
Cd 0.500 0.000 0.749  0.01

***

Arrangement B

This record from Alexandria describes a relaxed Sm4Cd3In crystal. The functional is GGA-PBE.

Output
Magnetization in μB/cell: 0.0
Calculated volume in Å³ per cell: 226
SG: Pmm2 (25)

a b c (Å): 3.670 4.952 12.412
angles (deg): 90.00 90.00 90.00
Element x y z (fractional)
Sm 0.500 0.500 0.341
Sm 0.000 0.500 0.839
Sm 0.000 0.000 0.160
Sm 0.500 0.000 0.659
Cd 0.000 0.500 0.571
Cd 0.000 0.000 0.429
Cd 0.500 0.000 0.927
In 0.500 0.500 0.072

***

Quick look at relative energies in meV per atom: arrangement A 0; arrangement B 49.

***

Arrangement A

This record from Alexandria describes a relaxed Sm4CdIn crystal. The functional is GGA-PBE.

Output
Magnetization in μB/cell: 0.2
Calculated volume in Å³ per cell: 206
SG: P4/mmm (123)

a b c (Å): 5.201 5.201 7.603
angles (deg): 89.98 89.99 90.01
Element x y z (fractional)
Sm 0.501 0.997 0.251
Sm 0.501 0.997 0.745
Sm 0.001 0.497 0.745
Sm 0.001 0.497 0.251
Cd 0.001 0.997 0.498
In 0.501 0.497 0.998

***

Arrangement B

This record from Alexandria describes a relaxed Sm4CdIn crystal. The functional is GGA-PBE.

Output
Magnetization in μB/cell: 0.0
Calculated volume in Å³ per cell: 181
SG: C2/m (12)

a b c (Å): 3.643 7.265 8.916
angles (deg): 120.44 78.21 75.48
Element x y z (fractional)
Sm 0.828 0.516 0.828
Sm 0.327 0.017 0.328
Sm 0.172 0.484 0.172
Sm 0.673 0.983 0.672
Cd 0.500 0.500 0.500
In 0.000 0.000 0.000

***

Quick look at relative energies in meV per atom: arrangement A 246; arrangement B 0.

***

Arrangement A

This record from Alexandria describes a relaxed Sm2Cd3In2 crystal. The functional is GGA-PBE.

Output
Magnetization in μB/cell: 0.0
Calculated volume in Å³ per cell: 181
SG: C2/m (12)

a b c (Å): 4.769 6.150 7.193
angles (deg): 109.86 90.00 112.82
Element x y z (fractional)
Sm 0.849 0.698 0.235
Sm 0.151 0.302 0.765
Cd 0.500 0.000 0.000
Cd 0.599 0.197 0.430
Cd 0.401 0.803 0.570
In 0.850 0.700 0.769
In 0.150 0.300 0.231

***

Arrangement B

This record from Alexandria describes a relaxed Sm2Cd3In2 crystal. The functional is GGA-PBE.

Output
Magnetization in μB/cell: 0.0
Calculated volume in Å³ per cell: 183
SG: Cmmm (65)

a b c (Å): 3.494 4.713 11.371
angles (deg): 101.96 90.00 90.00
Element x y z (fractional)
Sm 0.000 0.849 0.697
Sm 0.000 0.151 0.303
Cd 0.500 0.568 0.137
Cd 0.500 0.432 0.863
Cd 0.000 0.000 0.000
In 0.500 0.712 0.424
In 0.500 0.288 0.576

***

Quick look at relative energies in meV per atom: arrangement A 0; arrangement B 69.

***

Arrangement A

This record from Alexandria describes a relaxed SmCd4In crystal. The functional is GGA-PBE.

Output
Magnetization in μB/cell: 0.0
Calculated volume in Å³ per cell: 150
SG: F-43m (216)

a b c (Å): 5.970 5.970 5.970
angles (deg): 60.00 60.00 60.00
Element x y z (fractional)
Cd 0.625 0.625 0.126
Cd 0.625 0.126 0.625
Cd 0.625 0.625 0.625
Cd 0.126 0.625 0.625
Sm 0.250 0.250 0.250
In 0.000 0.000 0.000

***

Arrangement B

This record from Alexandria describes a relaxed SmCd4In crystal. The functional is GGA-PBE.

Output
Magnetization in μB/cell: 0.0
Calculated volume in Å³ per cell: 295
SG: Cmcm (63)

a b c (Å): 5.013 6.562 9.547
angles (deg): 69.90 90.00 90.01
Element x y z (fractional)
Sm 0.750 0.619 0.262
Sm 0.250 0.381 0.738
Cd 0.250 0.793 0.414
Cd 0.250 0.957 0.082
Cd 0.750 0.707 0.586
Cd 0.750 0.539 0.918
Cd 0.750 0.207 0.586
Cd 0.250 0.293 0.414
Cd 0.750 0.043 0.918
Cd 0.250 0.461 0.082
In 0.750 0.123 0.254
In 0.250 0.877 0.746

***

Quick look at relative energies in meV per atom: arrangement A 116; arrangement B 0.

***

Arrangement A

This record from Alexandria describes a relaxed Cd2In5Sn2 crystal. The functional is GGA-PBE.

Output
Magnetization in μB/cell: 0.0
Calculated volume in Å³ per cell: 242
SG: C2/m (12)

a b c (Å): 5.621 8.204 8.074
angles (deg): 132.68 90.00 110.03
Element x y z (fractional)
Cd 0.100 0.201 0.761
Cd 0.900 0.799 0.239
In 0.319 0.638 0.303
In 0.681 0.362 0.697
In 0.229 0.457 0.572
In 0.771 0.543 0.428
In 0.000 0.000 0.000
Sn 0.548 0.096 0.871
Sn 0.452 0.904 0.129

***

Arrangement B

This record from Alexandria describes a relaxed Cd2In5Sn2 crystal. The functional is GGA-PBE.

Output
Magnetization in μB/cell: 0.0
Calculated volume in Å³ per cell: 494
SG: Ima2 (46)

a b c (Å): 9.951 6.479 9.694
angles (deg): 109.52 120.88 90.00
Element x y z (fractional)
Cd 0.134 0.541 0.198
Cd 0.866 0.343 0.802
Cd 0.565 0.041 0.198
Cd 0.435 0.843 0.802
In 0.169 0.651 0.878
In 0.831 0.773 0.122
In 0.209 0.151 0.878
In 0.791 0.273 0.122
In 0.330 0.003 0.302
In 0.670 0.701 0.698
In 0.472 0.503 0.302
In 0.528 0.201 0.698
In 0.120 0.909 0.500
In 0.880 0.409 0.500
Sn 0.000 0.020 0.000
Sn 0.500 0.520 0.000
Sn 0.198 0.394 0.500
Sn 0.802 0.894 0.500

***

Quick look at relative energies in meV per atom: arrangement A 0; arrangement B 30.

***

Arrangement A

This record from Alexandria describes a relaxed CdIn2Sn2 crystal. The functional is GGA-PBE.

Output
Magnetization in μB/cell: 0.0
Calculated volume in Å³ per cell: 281
SG: P4/mbm (127)

a b c (Å): 8.543 8.543 3.856
angles (deg): 90.00 90.00 90.00
Element x y z (fractional)
Cd 0.000 0.000 0.000
Cd 0.500 0.500 0.000
Sn 0.356 0.856 0.000
Sn 0.856 0.644 0.000
Sn 0.644 0.144 0.000
Sn 0.144 0.356 0.000
In 0.154 0.654 0.500
In 0.654 0.846 0.500
In 0.846 0.346 0.500
In 0.346 0.154 0.500

***

Arrangement B

This record from Alexandria describes a relaxed CdIn2Sn2 crystal. The functional is GGA-PBE.

Output
Magnetization in μB/cell: 0.0
Calculated volume in Å³ per cell: 148
SG: I4/mmm (139)

a b c (Å): 4.426 4.426 8.161
angles (deg): 105.73 105.74 90.00
Element x y z (fractional)
Cd 0.000 0.000 0.000
In 0.402 0.402 0.804
In 0.598 0.598 0.196
Sn 0.750 0.250 0.500
Sn 0.250 0.750 0.500

***

Quick look at relative energies in meV per atom: arrangement A 0; arrangement B 19.

***

Arrangement A

This record from Alexandria describes a relaxed CdIn2Sn2 crystal. The functional is GGA-PBE.

Output
Magnetization in μB/cell: 0.0
Calculated volume in Å³ per cell: 285
SG: P4/mbm (127)

a b c (Å): 9.221 9.221 3.356
angles (deg): 90.00 90.00 90.00
Element x y z (fractional)
Cd 0.000 0.000 0.000
Cd 0.500 0.500 0.000
Sn 0.133 0.633 0.500
Sn 0.633 0.867 0.500
Sn 0.867 0.367 0.500
Sn 0.367 0.133 0.500
In 0.337 0.837 0.000
In 0.837 0.663 0.000
In 0.663 0.163 0.000
In 0.163 0.337 0.000

***

Arrangement B

This record from Alexandria describes a relaxed CdIn2Sn2 crystal. The functional is GGA-PBE.

Output
Magnetization in μB/cell: 0.0
Calculated volume in Å³ per cell: 145
SG: I4/mmm (139)

a b c (Å): 4.360 4.360 8.212
angles (deg): 74.61 74.61 90.00
Element x y z (fractional)
Cd 0.000 0.000 0.000
Sn 0.400 0.400 0.200
Sn 0.600 0.600 0.800
In 0.750 0.250 0.500
In 0.250 0.750 0.500

***

Arrangement C

This record from Alexandria describes a relaxed CdIn2Sn2 crystal. The functional is GGA-PBE.

Output
Magnetization in μB/cell: 0.0
Calculated volume in Å³ per cell: 271
SG: Cmc2_1 (36)

a b c (Å): 5.488 6.473 8.094
angles (deg): 90.00 109.82 90.00
Element x y z (fractional)
Cd 0.390 0.830 0.779
Cd 0.610 0.330 0.221
In 0.395 0.327 0.789
In 0.804 0.076 0.609
In 0.196 0.576 0.391
In 0.605 0.827 0.211
Sn 0.996 0.827 0.992
Sn 0.807 0.574 0.614
Sn 0.193 0.074 0.386
Sn 0.004 0.327 0.008

***

Quick look at relative energies in meV per atom: arrangement A 72; arrangement B 83; arrangement C 0.

***

Arrangement A

This record from Alexandria describes a relaxed Cd7In2Sn2 crystal. The functional is GGA-PBE.

Output
Magnetization in μB/cell: 0.0
Calculated volume in Å³ per cell: 280
SG: C2/m (12)

a b c (Å): 5.926 7.463 7.463
angles (deg): 86.93 112.49 112.49
Element x y z (fractional)
Cd 0.662 0.933 0.418
Cd 0.338 0.582 0.067
Cd 0.338 0.067 0.582
Cd 0.662 0.418 0.933
Cd 0.500 0.000 0.000
Cd 0.056 0.282 0.282
Cd 0.944 0.718 0.718
In 0.333 0.611 0.611
In 0.667 0.389 0.389
Sn 0.000 0.845 0.155
Sn 0.000 0.155 0.845

***

Arrangement B

This record from Alexandria describes a relaxed Cd7In2Sn2 crystal. The functional is GGA-PBE.

Output
Magnetization in μB/cell: 0.0
Calculated volume in Å³ per cell: 286
SG: C2/m (12)

a b c (Å): 5.520 7.254 7.254
angles (deg): 83.38 96.04 96.04
Element x y z (fractional)
Cd 0.728 0.045 0.398
Cd 0.272 0.602 0.955
Cd 0.272 0.955 0.602
Cd 0.728 0.398 0.045
Cd 0.500 0.000 0.000
Cd 0.264 0.546 0.546
Cd 0.736 0.454 0.454
In 0.000 0.198 0.802
In 0.000 0.802 0.198
Sn 0.238 0.254 0.254
Sn 0.762 0.746 0.746

***

Quick look at relative energies in meV per atom: arrangement A 0; arrangement B 27.